(1)
Density functional theory data (PBE) for an optimized crystal structure of Sr2ZnAu.

```
4
Lattice="5.2678 0.0000 0.0000 2.6339 4.5620 0.0000 2.6339 1.5207 4.3011" Properties=species:S:1:pos:R:3 pbc="T T T"
Au 5.2678 3.0413 2.1506
Zn 7.9017 4.5620 3.2258
Sr 2.6339 1.5207 1.0753
Sr 0.0000 0.0000 0.0000
```

Energy relative to the elements in eV/atom: -0.19
D(E_F) in states/eV per cell: 3.6
Uncorrected energy in eV per atom: -2.172
SG: No. 216

(2)
Density functional theory data (PBE) for an optimized crystal structure of SrZn2Au.

```
4
Lattice="4.4952 -0.1703 0.2159 2.3968 3.8067 0.2159 2.0177 1.0646 5.5372" Properties=species:S:1:pos:R:3 pbc="T T T"
Au 6.6823 3.5258 4.4767
Zn 2.0592 1.0865 4.7410
Zn 4.4133 2.3286 3.7806
Sr 2.2274 1.1753 1.4922
```

Energy relative to the elements in eV/atom: -0.39
D(E_F) in states/eV per cell: 2.1
Uncorrected energy in eV per atom: -2.267
SG: No. 12

(3)
Density functional theory data (PBE) for an optimized crystal structure of Sr6ZnAu3.

```
20
Lattice="4.5489 0.0000 0.0000 0.0000 10.9568 -4.4634 0.0000 0.1194 14.4217" Properties=species:S:1:pos:R:3 pbc="T T T"
Sr 3.4117 9.2393 -2.4028
Sr 1.1372 5.7192 3.3201
Sr 1.1372 9.8428 4.3399
Sr 3.4117 8.2456 1.3222
Sr 3.4117 5.3570 6.6383
Sr 3.4117 4.7547 -0.5872
Sr 1.1372 6.3215 10.5455
Sr 3.4117 9.2929 7.8057
Sr 1.1372 1.7833 2.1527
Sr 1.1372 2.8306 8.6361
Sr 3.4117 1.2334 5.6184
Sr 1.1372 1.8369 12.3612
Au 1.1372 3.4210 5.4500
Au 1.1372 7.2309 -0.7253
Au 3.4117 1.0144 0.0599
Au 3.4117 3.8453 10.6837
Au 1.1372 10.0618 9.8985
Au 3.4117 7.6552 4.5084
Zn 1.1372 10.0743 -0.1009
Zn 3.4117 1.0020 10.0592
```

Energy relative to the elements in eV/atom: -0.49
D(E_F) in states/eV per cell: 13.5
Uncorrected energy in eV per atom: -2.614
SG: No. 11

(4)
Density functional theory data (PBE) for an optimized crystal structure of Sr2ZnAu.

```
4
Lattice="6.3312 0.0217 0.0058 4.7412 4.1958 0.0058 -0.0045 -0.0017 4.6624" Properties=species:S:1:pos:R:3 pbc="T T T"
Au 3.4439 1.3118 0.5863
Zn 4.8533 1.8486 2.9197
Sr 8.1160 3.0914 2.9218
Sr 0.1887 0.0719 0.5833
```

Energy relative to the elements in eV/atom: -0.51
D(E_F) in states/eV per cell: 2.1
Uncorrected energy in eV per atom: -2.490
SG: No. 38

(5)
Density functional theory data (PBE) for an optimized crystal structure of SrZn9Au2.

```
24
Lattice="-0.0307 5.4120 4.4881 -3.0338 -1.8357 7.7001 7.0835 0.8031 4.5873" Properties=species:S:1:pos:R:3 pbc="T T T"
Zn 4.4658 2.1166 5.1776
Zn 4.0842 3.5963 11.6515
Zn -0.0621 0.2313 4.6664
Zn 2.4106 0.8762 3.9056
Zn -0.6037 2.7020 8.3136
Zn 0.3935 1.1269 10.2197
Zn -1.4255 0.5801 6.9901
Zn 2.0639 3.3114 4.8434
Zn 4.4399 -0.4413 9.3849
Zn 1.6115 2.9514 12.4123
Zn 3.6223 3.8042 7.0134
Zn 5.4630 0.5415 7.0837
Zn -0.4087 2.6665 5.6041
Zn -0.4283 -0.9950 8.8963
Zn 2.0018 3.5427 9.5098
Zn 1.9673 -1.0862 10.1457
Zn 0.0000 0.0000 0.0000
Zn 4.6196 2.2292 8.9195
Sr 2.0172 0.8367 7.2657
Sr -0.0154 2.7060 2.2440
Au 0.9855 4.4774 6.9989
Au 3.0257 1.2550 10.8986
Au 4.5273 4.8789 9.2926
Au -0.5314 3.5595 10.8490
```

Energy relative to the elements in eV/atom: -0.26
D(E_F) in states/eV per cell: 11.2
Uncorrected energy in eV per atom: -1.906
SG: No. 141

(6)
Density functional theory data (PBE) for an optimized crystal structure of SrZn3Au10.

```
28
Lattice="8.0211 0.0000 4.6310 2.6737 7.5623 4.6310 0.0000 0.0000 9.2619" Properties=species:S:1:pos:R:3 pbc="T T T"
Au 7.7581 2.9288 9.2619
Au 6.1599 2.6321 4.6310
Au 1.7431 4.9303 3.0192
Au 4.1421 2.9289 7.1742
Au 4.5349 4.9303 4.6310
Au 2.7918 0.0000 1.6118
Au 0.9306 2.6321 7.6501
Au 4.1421 2.9289 11.3497
Au 5.3474 1.2242 9.2619
Au 2.7918 0.0000 7.6501
Au 5.2294 0.0000 3.0192
Au 0.0000 0.0000 3.2236
Au 0.0000 0.0000 6.0383
Au 2.9367 4.6335 9.2619
Au 0.9306 2.6321 1.6118
Au 6.5527 4.6335 7.1742
Au 6.5527 4.6335 11.3497
Au 1.7431 4.9303 6.2428
Au 5.2294 0.0000 6.2428
Au 5.3474 6.3381 9.2619
Zn 6.6144 1.9894 11.4563
Zn 7.8813 5.5729 9.2619
Zn 4.0805 5.5729 11.4563
Zn 4.0805 5.5729 7.0675
Zn 6.6144 1.9894 7.0676
Zn 2.8135 1.9895 9.2619
Sr 2.6737 1.8906 4.6310
Sr 8.0211 5.6717 13.8929
```

Energy relative to the elements in eV/atom: -0.18
D(E_F) in states/eV per cell: 5.2
Uncorrected energy in eV per atom: -2.912
SG: No. 225